No. 1
Computed, not measured: a geometry-optimized KSi2 structure at the GGA-PBE level of DFT.

Results
ΔE to the lowest computed polymorph, kJ/mol of atoms: 89.1
Crystal system: hexagonal
Energy relative to the elements, uncorrected, eV/atom: 0.953
DFT total energy, eV per atom: -3.028
V, Å³/cell: 139.7

Cell: 5.0894 5.0894 6.2300 Å, 90.00 90.00 120.00°
Positions (direct):
K 0.3333 0.6667 0.2500
K 0.6667 0.3333 0.7500
Si 0.0000 0.0000 0.0000
Si 0.0000 0.0000 0.5000
Si 0.3333 0.6667 0.7500
Si 0.6667 0.3333 0.2500


No. 2
Computed, not measured: a geometry-optimized K2Si structure at the GGA-PBE level of DFT.

Results
ΔE to the lowest computed polymorph, kJ/mol of atoms: 5.5
Crystal system: trigonal
Energy relative to the elements, uncorrected, eV/atom: 0.099
DFT total energy, eV per atom: -2.440
V, Å³/cell: 698.3

Cell: 5.9219 5.9219 22.9941 Å, 90.00 90.00 120.00°
Positions (direct):
K 0.0000 0.0000 0.1259
K 0.0000 0.0000 0.8741
K 0.3333 0.6667 0.7926
K 0.3333 0.6667 0.5408
K 0.6667 0.3333 0.4592
K 0.6667 0.3333 0.2074
K 0.0000 0.0000 0.7020
K 0.0000 0.0000 0.2980
K 0.3333 0.6667 0.3686
K 0.3333 0.6667 0.9647
K 0.6667 0.3333 0.0353
K 0.6667 0.3333 0.6314
Si 0.0000 0.0000 0.4505
Si 0.0000 0.0000 0.5495
Si 0.3333 0.6667 0.1171
Si 0.3333 0.6667 0.2162
Si 0.6667 0.3333 0.7838
Si 0.6667 0.3333 0.8829


No. 3
Computed, not measured: a geometry-optimized K4Si structure at the GGA-PBE level of DFT.

Results
ΔE to the lowest computed polymorph, kJ/mol of atoms: 0.0
Crystal system: cubic
Energy relative to the elements, uncorrected, eV/atom: 0.218
DFT total energy, eV per atom: -1.745
V, Å³/cell: 266.1

Cell: 7.0178 7.0178 7.0178 Å, 109.47 109.47 109.47°
Positions (direct):
K 0.5000 0.0000 0.0000
K 0.5000 0.5000 0.5000
K 0.0000 0.5000 0.0000
K 0.0000 0.0000 0.5000
Si 0.0000 0.0000 0.0000


No. 4
Computed, not measured: a geometry-optimized K2Si structure at the GGA-PBE level of DFT.

Results
ΔE to the lowest computed polymorph, kJ/mol of atoms: 36.9
Crystal system: orthorhombic
Energy relative to the elements, uncorrected, eV/atom: 0.425
DFT total energy, eV per atom: -2.114
V, Å³/cell: 99.0

Cell: 6.2554 6.2554 6.2554 Å, 148.49 128.68 61.48°
Positions (direct):
K 0.6551 0.6551 0.0000
K 0.3449 0.3449 0.0000
Si 0.0000 0.0000 0.0000


No. 5
Computed, not measured: a geometry-optimized KSi3 structure at the GGA-PBE level of DFT.

Results
ΔE to the lowest computed polymorph, kJ/mol of atoms: 34.1
Crystal system: orthorhombic
Energy relative to the elements, uncorrected, eV/atom: 0.522
DFT total energy, eV per atom: -3.820
V, Å³/cell: 87.8

Cell: 6.1469 6.1469 6.1469 Å, 153.97 119.66 66.83°
Positions (direct):
K 0.0832 0.0000 0.0832
Si 0.5829 0.5000 0.0829
Si 0.7807 0.1970 0.5836
Si 0.3866 0.8030 0.5836


No. 6
Computed, not measured: a geometry-optimized KSi2 structure at the GGA-PBE level of DFT.

Results
ΔE to the lowest computed polymorph, kJ/mol of atoms: 24.1
Crystal system: orthorhombic
Energy relative to the elements, uncorrected, eV/atom: 0.279
DFT total energy, eV per atom: -3.702
V, Å³/cell: 146.5

Cell: 12.2017 12.2017 3.8405 Å, 90.00 90.00 165.15°
Positions (direct):
K 0.1231 0.8769 0.2500
K 0.8769 0.1231 0.7500
Si 0.4714 0.5286 0.2500
Si 0.5286 0.4714 0.7500
Si 0.7548 0.2452 0.2500
Si 0.2452 0.7548 0.7500


Q: What is the formula in the third record?
A: K4Si